No. 1
# NaZr2Fe

Crystalline NaZr2Fe at its relaxed geometry (GGA-PBE, Alexandria).

abc: 6.4954 6.4954 12.7987
angles: 90.00 90.00 90.00
Space group I4_1/amd (No. 141, origin choice 2)
Inequivalent atoms, fractional coordinates:
Na 0.0000 0.2500 0.3750 x4
Zr 0.0000 0.0000 0.0000 x8
Fe 0.0000 0.2500 0.8750 x4

## Properties
The spin magnetization is 0.00 μB/f.u. As for the density of states at the Fermi level: 1.14 states/eV per atom. As for the total DFT energy (no corrections): -89.49 eV/cell. The value obtained for the formation energy from the elements is 25.979 kcal/mol of atoms. As for the excess energy over the best structure of this formula in the dataset: 275.8 kJ/mol of formula units.

No. 2
# Na3ZrFe

Crystalline Na3ZrFe at its relaxed geometry (GGA-PBE, Alexandria).

abc: 5.1364 5.1364 5.1364
angles: 90.00 90.00 90.00
Space group Pm-3m (No. 221)
Inequivalent atoms, fractional coordinates:
Na 0.0000 0.0000 0.5000 x3
Zr 0.5000 0.5000 0.5000 x1
Fe 0.0000 0.0000 0.0000 x1

## Properties
The spin magnetization is 2.10 μB/f.u. As for the density of states at the Fermi level: 1.42 states/eV per atom. As for the total DFT energy (no corrections): -13.08 eV/cell. The value obtained for the formation energy from the elements is 36.372 kcal/mol of atoms.

No. 3
# NaZr3Fe

Crystalline NaZr3Fe at its relaxed geometry (GGA-PBE, Alexandria).

abc: 4.9328 4.9328 4.9328
angles: 90.00 90.00 90.00
Space group Pm-3m (No. 221)
Inequivalent atoms, fractional coordinates:
Na 0.0000 0.0000 0.0000 x1
Zr 0.0000 0.5000 0.5000 x3
Fe 0.5000 0.5000 0.5000 x1

## Properties
The spin magnetization is 1.05 μB/f.u. As for the density of states at the Fermi level: 1.42 states/eV per atom. As for the total DFT energy (no corrections): -33.43 eV/cell. The value obtained for the formation energy from the elements is 9.218 kcal/mol of atoms.

No. 4
# Na2ZrFe

Crystalline Na2ZrFe at its relaxed geometry (GGA-PBE, Alexandria).

abc: 9.4176 9.4176 4.5939
angles: 90.00 90.00 90.00
Space group I-42d (No. 122)
Inequivalent atoms, fractional coordinates:
Na 0.1574 0.2500 0.1250 x8
Zr 0.0000 0.0000 0.5000 x4
Fe 0.0000 0.0000 0.0000 x4

## Properties
The spin magnetization is 0.00 μB/f.u. As for the density of states at the Fermi level: 0.97 states/eV per atom. As for the total DFT energy (no corrections): -61.74 eV/cell. The value obtained for the formation energy from the elements is 24.296 kcal/mol of atoms. As for the excess energy over the best structure of this formula in the dataset: 0.0 kJ/mol of formula units.

No. 5
# NaZrFe3

Crystalline NaZrFe3 at its relaxed geometry (GGA-PBE, Alexandria).

abc: 4.7670 4.7670 4.7670
angles: 90.00 90.00 90.00
Space group Pm-3m (No. 221)
Inequivalent atoms, fractional coordinates:
Na 0.0000 0.0000 0.0000 x1
Zr 0.5000 0.5000 0.5000 x1
Fe 0.0000 0.5000 0.5000 x3

## Properties
The spin magnetization is 6.47 μB/f.u. As for the density of states at the Fermi level: 1.18 states/eV per atom. As for the total DFT energy (no corrections): -28.44 eV/cell. The value obtained for the formation energy from the elements is 31.453 kcal/mol of atoms. As for the excess energy over the best structure of this formula in the dataset: 0.0 kJ/mol of formula units.

No. 6
# NaZr2Fe

Crystalline NaZr2Fe at its relaxed geometry (GGA-PBE, Alexandria).

abc: 6.6568 6.6568 6.6568
angles: 90.00 90.00 90.00
Space group Fm-3m (No. 225)
Inequivalent atoms, fractional coordinates:
Na 0.0000 0.0000 0.0000 x4
Zr 0.2500 0.2500 0.2500 x8
Fe 0.0000 0.0000 0.5000 x4

## Properties
The spin magnetization is 0.00 μB/f.u. As for the density of states at the Fermi level: 0.62 states/eV per atom. As for the total DFT energy (no corrections): -100.92 eV/cell. The value obtained for the formation energy from the elements is 9.498 kcal/mol of atoms. As for the excess energy over the best structure of this formula in the dataset: 0.0 kJ/mol of formula units.